1.
Material: VPCl9
Method: DFT, GGA-PBE
State: relaxed

Lattice parameters (Å, degrees): 12.4692 16.9909 6.4794 90.00 90.00 90.00
With the nearest neighbours (Å) after each atom.
Space group Cmme (No. 67)
One atom of each set of equivalent atoms:
V1 0.0000 0.2500 0.0813 x4  5 Cl 2.19-2.33
P1 0.2500 0.0000 0.5000 x4  4 Cl 1.97
Cl1 0.0000 0.1130 0.0760 x8  1 V 2.33
Cl2 0.0000 0.2500 0.7406 x4  1 V 2.21
Cl3 0.1540 0.2500 0.2447 x8  1 V 2.19
Cl4 0.1589 0.0659 0.6774 x16  1 P 1.97

Results
- Spin magnetization: 4.00 μB per cell
- Formation energy from raw total energies: -9.39 eV/f.u.
- Energy: -3.69 eV per atom

2.
Material: VPCl2
Method: DFT, GGA-PBE
State: relaxed

Lattice parameters (Å, degrees): 7.6117 7.6117 9.1383 90.00 90.00 90.00
With the nearest neighbours (Å) after each atom.
Space group I-42d (No. 122)
One atom of each set of equivalent atoms:
V1 0.0000 0.0000 0.0000 x4  4 Cl 2.35
P1 0.0000 0.0000 0.5000 x4  8 Cl 3.75-4.00
Cl1 0.1026 0.2500 0.1250 x8  2 V 2.35

Results
- Excess energy over the best structure of this formula in the dataset: 38.51 kJ/mol of atoms
- Spin magnetization: 23.90 μB per cell
- Formation energy from raw total energies: 1.02 eV/f.u.
- Energy: -4.30 eV per atom

3.
Material: V2PCl2
Method: DFT, GGA-PBE
State: relaxed

Lattice parameters (Å, degrees): 6.7133 6.7133 4.6482 90.00 90.00 90.00
With the nearest neighbours (Å) after each atom.
Space group P4/mbm (No. 127)
One atom of each set of equivalent atoms:
V1 0.2055 0.2945 0.0000 x4  2 Cl 2.35, 2 P 2.41
P1 0.0000 0.0000 0.0000 x2  4 V 2.41
Cl1 0.1672 0.3328 0.5000 x4  2 V 2.35

Results
- Spin magnetization: 10.00 μB per cell
- Formation energy from raw total energies: -1.34 eV/f.u.
- Energy: -5.74 eV per atom